No. 1
Compound: MnTcOs2
Source: Alexandria via LeMat-Bulk
Functional: PBE
Structure: optimized geometry

Computed properties:
* calculated volume: 13.8 A^3/atom

a = 3.822 Å, b = 3.822 Å, c = 7.558 Å
α = 90.00°, β = 90.00°, γ = 90.00°
Space group I4/mmm (No. 139)
Symmetry-distinct sites (fractional):
Mn (0.000, 0.000, 0.000) [2 per cell]
Tc (0.000, 0.000, 0.500) [2 per cell]
Os (0.000, 0.500, 0.250) [4 per cell]

No. 2
Compound: IrOs2Pt
Source: Alexandria via LeMat-Bulk
Functional: PBE
Structure: optimized geometry

Computed properties:
* calculated volume: 14.7 A^3/atom

a = 2.7349 Å, b = 2.7349 Å, c = 27.1936 Å
α = 90.00°, β = 90.00°, γ = 120.00°
Space group R-3m (No. 166, hexagonal axes)
Symmetry-distinct sites (fractional):
Ir (0.0000, 0.0000, 0.0000) [3 per cell]
Os (0.0000, 0.0000, 0.2523) [6 per cell]
Pt (0.0000, 0.0000, 0.5000) [3 per cell]

| no. | E_form (eV/atom) |
| --- | --- |
| 1 | 0.0674 |
| 2 | 0.1186 |